# GGA-PBE Tl2CrIr, optimized geometry
data_Tl2CrIr
_cell_length_a 3.525
_cell_length_b 3.525
_cell_length_c 6.262
_cell_angle_alpha 90.00
_cell_angle_beta 90.00
_cell_angle_gamma 90.00
_symmetry_space_group_name_H-M 'P 4/m m m'
_symmetry_Int_Tables_number 123
_symmetry_space_group_name_Hall '-P 4 2'
loop_
_atom_site_label
_atom_site_fract_x
_atom_site_fract_y
_atom_site_fract_z
Tl1 0.000 0.000 0.243
Cr1 0.500 0.500 0.500
Ir1 0.500 0.500 0.000
# Calculated total energy in eV per atom: -5.1846


# GGA-PBE TlCrIr2, optimized geometry
data_TlCrIr2
_cell_length_a 4.118
_cell_length_b 4.118
_cell_length_c 7.522
_cell_angle_alpha 90.00
_cell_angle_beta 90.00
_cell_angle_gamma 90.00
_symmetry_space_group_name_H-M 'I 4/m m m'
_symmetry_Int_Tables_number 139
_symmetry_space_group_name_Hall '-I 4 2'
loop_
_atom_site_label
_atom_site_fract_x
_atom_site_fract_y
_atom_site_fract_z
Tl1 0.000 0.000 0.000
Cr1 0.000 0.000 0.500
Ir1 0.000 0.500 0.250
# Calculated total energy in eV per atom: -7.1339


# GGA-PBE Tl4CrIr, optimized geometry
data_Tl4CrIr
_cell_length_a 8.544
_cell_length_b 8.544
_cell_length_c 8.544
_cell_angle_alpha 90.00
_cell_angle_beta 90.00
_cell_angle_gamma 90.00
_symmetry_space_group_name_H-M 'F -4 3 m'
_symmetry_Int_Tables_number 216
_symmetry_space_group_name_Hall 'F -4 2 3'
loop_
_atom_site_label
_atom_site_fract_x
_atom_site_fract_y
_atom_site_fract_z
Tl1 0.125 0.125 0.125
Cr1 0.250 0.250 0.750
Ir1 0.000 0.000 0.500
# Calculated total energy in eV per atom: -3.5916


# GGA-PBE TlCrIr2, optimized geometry
data_TlCrIr2
_cell_length_a 2.909
_cell_length_b 3.576
_cell_length_c 6.216
_cell_angle_alpha 90.00
_cell_angle_beta 90.00
_cell_angle_gamma 90.00
_symmetry_space_group_name_H-M 'P m m m'
_symmetry_Int_Tables_number 47
loop_
_symmetry_equiv_pos_as_xyz
'x,y,z'
'-x,-y,-z'
'-x,-y,z'
'x,y,-z'
'x,-y,-z'
'-x,y,z'
'-x,y,-z'
'x,-y,z'
loop_
_atom_site_label
_atom_site_fract_x
_atom_site_fract_y
_atom_site_fract_z
Tl1 0.000 0.000 0.000
Cr1 0.000 0.000 0.500
Ir1 0.500 0.500 0.284
# Calculated total energy in eV per atom: -7.1513


# GGA-PBE TlCrIr2, optimized geometry
data_TlCrIr2
_cell_length_a 6.375
_cell_length_b 6.375
_cell_length_c 6.375
_cell_angle_alpha 90.00
_cell_angle_beta 90.00
_cell_angle_gamma 90.00
_symmetry_space_group_name_H-M 'F m -3 m'
_symmetry_Int_Tables_number 225
_symmetry_space_group_name_Hall '-F 4 2 3'
loop_
_atom_site_label
_atom_site_fract_x
_atom_site_fract_y
_atom_site_fract_z
Tl1 0.000 0.000 0.000
Cr1 0.000 0.000 0.500
Ir1 0.250 0.250 0.250
# Calculated total energy in eV per atom: -7.0373


# GGA-PBE Tl2CrIr, optimized geometry
data_Tl2CrIr
_cell_length_a 4.499
_cell_length_b 4.499
_cell_length_c 7.512
_cell_angle_alpha 90.00
_cell_angle_beta 90.00
_cell_angle_gamma 90.00
_symmetry_space_group_name_H-M 'I 4/m m m'
_symmetry_Int_Tables_number 139
_symmetry_space_group_name_Hall '-I 4 2'
loop_
_atom_site_label
_atom_site_fract_x
_atom_site_fract_y
_atom_site_fract_z
Tl1 0.000 0.500 0.250
Cr1 0.000 0.000 0.000
Ir1 0.000 0.000 0.500
# Calculated total energy in eV per atom: -5.2824


# GGA-PBE TlCr3Ir, optimized geometry
data_TlCr3Ir
_cell_length_a 4.826
_cell_length_b 4.826
_cell_length_c 4.826
_cell_angle_alpha 90.00
_cell_angle_beta 90.00
_cell_angle_gamma 90.00
_symmetry_space_group_name_H-M 'P m -3 m'
_symmetry_Int_Tables_number 221
_symmetry_space_group_name_Hall '-P 4 2 3'
loop_
_atom_site_label
_atom_site_fract_x
_atom_site_fract_y
_atom_site_fract_z
Tl1 0.000 0.000 0.000
Cr1 0.000 0.500 0.500
Ir1 0.500 0.500 0.500
# Calculated total energy in eV per atom: -6.9745


# GGA-PBE Tl2CrIr, optimized geometry
data_Tl2CrIr
_cell_length_a 4.179
_cell_length_b 4.088
_cell_length_c 5.443
_cell_angle_alpha 90.00
_cell_angle_beta 112.43
_cell_angle_gamma 90.00
_symmetry_space_group_name_H-M 'P 1 m 1'
_symmetry_Int_Tables_number 6
loop_
_symmetry_equiv_pos_as_xyz
'x,y,z'
'x,-y,z'
loop_
_atom_site_label
_atom_site_fract_x
_atom_site_fract_y
_atom_site_fract_z
Tl1 0.000 0.000 0.000
Tl2 0.293 0.500 0.588
Cr1 0.714 0.000 0.429
Ir1 0.581 0.500 0.164
# Calculated total energy in eV per atom: -5.3043


Quick rundown of N(E_F), same order as above: 2.621 4.422 11.941 3.187 8.182 3.347 5.959 3.044 states/eV/cell
Quick rundown of energy of formation from the pure elements, same order as above: 620 294 1067 277 391 522 1045 500 meV/atom